No. 1
An optimized crystal structure of Rh2SeCl. Source: Alexandria, functional PBE.

Summary:
formation energy from raw total energies = 0.39 eV per atom
polymorph energy (0 for the lowest one) = 43.27 kJ per mole of atoms

Geometry as POSCAR:
```
Rh2SeCl
1.0
3.007 0.000 0.000
0.000 5.764 0.000
0.000 0.000 4.008
Cl Rh Se
1 2 1
direct
0.000 0.500 0.500
0.000 0.000 0.000
0.500 0.500 0.000
0.500 0.000 0.500
```

***

No. 2
An optimized crystal structure of Rb4Dy3MnSe8. Source: Alexandria, functional PBE.

Summary:
formation energy from raw total energies = -1.44 eV per atom

Geometry as POSCAR:
```
Rb4Dy3MnSe8
1.0
8.348 0.000 0.000
0.000 9.298 0.662
-4.174 -4.170 5.907
Rb Dy Mn Se
4 3 1 8
direct
0.500 0.000 0.000
0.500 0.000 0.500
0.000 0.000 0.000
0.000 0.000 0.500
0.500 0.500 0.000
0.500 0.500 0.500
0.000 0.500 0.500
0.000 0.500 0.000
0.221 0.688 0.967
0.221 0.688 0.442
0.267 0.302 0.535
0.746 0.688 0.967
0.254 0.312 0.033
0.733 0.698 0.465
0.779 0.312 0.558
0.779 0.312 0.033
```

***

No. 3
An optimized crystal structure of LaNi4As3. Source: Alexandria, functional PBE.

Summary:
energy of formation from the pure elements = -580 meV per atom

Geometry as POSCAR:
```
LaNi4As3
1.0
4.069 0.000 0.000
0.000 4.069 0.000
0.000 0.000 7.760
Ni As La
4 3 1
direct
0.500 0.000 0.168
0.000 0.500 0.168
0.500 0.000 0.832
0.000 0.500 0.832
0.000 0.000 0.000
0.500 0.500 0.323
0.500 0.500 0.677
0.000 0.000 0.500
```

***

No. 4
An optimized crystal structure of BaScW3. Source: Alexandria, functional PBE.

Summary:
energy of formation from the pure elements = 2319 meV per atom
polymorph energy (0 for the lowest one) = 0.00 kJ per mole of atoms

Geometry as POSCAR:
```
BaScW3
1.0
-0.703 -4.465 -1.986
2.337 -2.069 3.825
-4.291 -0.396 2.408
Sc Ba W
1 1 3
direct
0.000 0.000 0.000
0.500 0.500 0.500
0.000 0.500 0.000
0.000 0.000 0.500
0.500 0.000 0.000
```

***

- Number 4 is which compound?
  BaScW3